Record 1
RbCaGeBr5 | Alexandria via LeMat-Bulk | PBE-GGA | relaxed; symmetry = C2/c; E_form (uncorrected) = -1397.2 meV/atom; calculated density = 3.24 g/cm³
1.0
5.2344 -5.8770 0.0000
5.2344 5.8770 0.0000
-4.6446 0.0000 9.9650
Rb Ca Ge Br
2 2 2 10
Direct
0.0786 0.9214 0.7500 Rb
0.9214 0.0786 0.2500 Rb
0.0000 0.5000 0.0000 Ca
0.5000 0.0000 0.5000 Ca
0.4855 0.5145 0.7500 Ge
0.5145 0.4855 0.2500 Ge
0.1908 0.2348 0.0780 Br
0.2232 0.7768 0.2500 Br
0.2348 0.1908 0.5780 Br
0.2996 0.6296 0.9059 Br
0.3704 0.7004 0.5941 Br
0.6296 0.2996 0.4059 Br
0.7004 0.3704 0.0941 Br
0.7652 0.8092 0.4220 Br
0.7768 0.2232 0.7500 Br
0.8092 0.7652 0.9220 Br

---

Record 2
Tm4TePb | Alexandria via LeMat-Bulk | PBE-GGA | relaxed; symmetry = P2_1/m; E_form (uncorrected) = -544.4 meV/atom; calculated density = 10.03 g/cm³
1.0
6.1416 0.0000 0.0000
0.0000 6.3942 0.0000
-0.4006 0.0000 8.5211
Tm Te Pb
8 2 2
Direct
0.1244 0.2500 0.3398 Tm
0.1573 0.7500 0.0328 Tm
0.3610 0.0019 0.6945 Tm
0.3610 0.4981 0.6945 Tm
0.6390 0.5019 0.3055 Tm
0.6390 0.9981 0.3055 Tm
0.8427 0.2500 0.9672 Tm
0.8756 0.7500 0.6602 Tm
0.3387 0.2500 0.0244 Te
0.6613 0.7500 0.9756 Te
0.1810 0.7500 0.3865 Pb
0.8190 0.2500 0.6135 Pb

---

Record 3
TbDyS | Alexandria via LeMat-Bulk | PBE-GGA | relaxed; symmetry = P-6m2; E_form (uncorrected) = -1282.7 meV/atom; calculated density = 7.59 g/cm³
1.0
3.7552 0.0000 0.0000
-1.8776 3.2521 0.0000
0.0000 0.0000 12.6569
Tb Dy S
2 2 2
Direct
0.0000 0.0000 0.0000 Tb
0.0000 0.0000 0.5000 Tb
0.6667 0.3333 0.2274 Dy
0.6667 0.3333 0.7726 Dy
0.3333 0.6667 0.3633 S
0.3333 0.6667 0.6367 S

---

Computed values of DFT total energy (unit: eV per atom) for the preceding records, in sequence: -3.391 -4.667 -5.736.